No. 1
5
Lattice="0.000 3.603 -0.915 -3.702 0.083 0.326 2.515 -0.043 7.379" Properties=species:S:1:pos:R:3 comment="Ta4Te | the Alexandria database | SCAN | PBEsol geometry" rho_g_cm3=13.941 raw_formation_energy_mev_per_atom=739 e_above_lowest_polymorph_ev_per_fu=3.53 magmom_total_mub_per_cell=0.0 space_group="I4/mmm, No. 139" dos_at_fermi_per_ev_atom=1.205 pbc="T T T"
Ta 0.332 2.701 3.085
Ta -1.519 0.941 3.705
Ta -1.717 2.207 1.138
Ta 0.530 1.436 5.652
Te 0.000 0.000 0.000

No. 2
4
Lattice="-0.342 -0.545 3.702 5.018 -1.678 0.217 -0.932 5.414 -1.196" Properties=species:S:1:pos:R:3 comment="LaSi2Te | the Alexandria database | SCAN | PBEsol geometry" rho_g_cm3=5.867 raw_formation_energy_mev_per_atom=-338 magmom_total_mub_per_cell=0.0 space_group="Imm2, No. 44" dos_at_fermi_per_ev_atom=0.625 pbc="T T T"
La 3.278 1.514 0.526
Si 0.117 0.358 0.064
Si 0.414 1.516 2.168
Te 1.341 4.103 0.728